Density functional theory data (GGA-PBE) for a relaxed structure of Dy12FeHg6.

Structure (CIF):
```
data_Dy12FeHg6
_symmetry_space_group_name_H-M 'R -3'
_symmetry_Int_Tables_number 148
_symmetry_space_group_name_Hall '-R 3'
_cell_length_a 11.9627
_cell_length_b 11.9627
_cell_length_c 13.1277
_cell_angle_alpha 90.00
_cell_angle_beta 90.00
_cell_angle_gamma 120.00
loop_
_atom_site_label
_atom_site_type_symbol
_atom_site_fract_x
_atom_site_fract_y
_atom_site_fract_z
_atom_site_occupancy
Dy1 Dy 0.0342 0.8472 0.3886 1
Dy2 Dy 0.0363 0.1867 0.8802 1
Fe1 Fe 0.0000 0.0000 0.0000 1
Hg1 Hg 0.0061 0.6095 0.2550 1
```

Output
Formation energy ... -205 meV/atom
Final energy ... -3.653 eV per atom
Magnetization ... 0.00 μB/cell

Density functional theory data (GGA-PBE) for a relaxed structure of Dy2HoFe.

Structure (CIF):
```
data_Dy2HoFe
_symmetry_space_group_name_H-M 'R -3 m'
_symmetry_Int_Tables_number 166
_symmetry_space_group_name_Hall '-R 3 2"'
_cell_length_a 3.4494
_cell_length_b 3.4494
_cell_length_c 31.6865
_cell_angle_alpha 90.00
_cell_angle_beta 90.00
_cell_angle_gamma 120.00
loop_
_atom_site_label
_atom_site_type_symbol
_atom_site_fract_x
_atom_site_fract_y
_atom_site_fract_z
_atom_site_occupancy
Dy1 Dy 0.0000 0.0000 0.1078 1
Ho1 Ho 0.0000 0.0000 0.0000 1
Fe1 Fe 0.0000 0.0000 0.5000 1
```

Output
Formation energy ... 342 meV/atom
Final energy ... -5.219 eV per atom
Magnetization ... 2.22 μB/cell

Question: formation energy of number 1 (Dy12FeHg6)?
Answer: -205 meV/atom

Question: The lowest formation energy belongs to which entry?
Answer: Dy12FeHg6

Question: Which of these has the lowest magnetization?
Answer: Dy12FeHg6